Material: Al2SiSn2
Method: DFT, PBE
State: optimized geometry

The structure in POSCAR format:
```
Al2SiSn2
1.0
6.626 0.000 0.000
0.000 6.626 0.000
0.000 0.000 4.993
Al Si Sn
4 2 4
Direct
0.141 0.359 0.000
0.359 0.859 0.000
0.641 0.141 0.000
0.859 0.641 0.000
0.000 0.000 0.000
0.500 0.500 0.000
0.182 0.682 0.500
0.318 0.182 0.500
0.682 0.818 0.500
0.818 0.318 0.500
```

N(E_F) = 0.440 states/eV per atom
VASP energy = -3.946 eV/atom
Relative energy among the computed polymorphs = 0.000 eV per atom
Total moment = 0.0 μB/cell
Raw formation energy = 0.237 eV per atom